Version P
K2NaHgH: optimized geometry, PBE.

Space group: P4/mmm
Total magnetization: 0.0 μB per cell

Cell: 5.553 5.553 4.921 Å, 90.00 90.00 90.00°
Atoms (fractional coordinates):
K  0.000  0.500  0.000
K  0.500  0.000  0.000
Na  0.000  0.000  0.500
Hg  0.500  0.500  0.500
H  0.000  0.000  0.000

Version Q
K2NaHgH: optimized geometry, PBE.

Space group: P4/mmm
Total magnetization: 0.0 μB per cell

Cell: 5.283 5.283 5.941 Å, 90.00 90.00 90.00°
Atoms (fractional coordinates):
K  0.000  0.500  0.000
K  0.500  0.000  0.000
Na  0.000  0.000  0.500
Hg  0.500  0.500  0.500
H  0.500  0.500  0.000

What is the stability order? It is version P, version Q, from most stable to least stable.

Version P
K2RbHgH: optimized geometry, PBE.

Space group: P4/mmm
Total magnetization: 0.3 μB per cell

Cell: 5.557 5.557 5.869 Å, 90.00 90.00 90.00°
Atoms (fractional coordinates):
K  0.000  0.500  0.000
K  0.500  0.000  0.000
Rb  0.000  0.000  0.500
Hg  0.500  0.500  0.500
H  0.000  0.000  0.000

Version Q
K2RbHgH: optimized geometry, PBE.

Space group: P4/mmm
Total magnetization: 0.0 μB per cell

Cell: 5.534 5.534 6.731 Å, 90.00 90.00 90.00°
Atoms (fractional coordinates):
K  0.000  0.500  0.000
K  0.500  0.000  0.000
Rb  0.000  0.000  0.500
Hg  0.500  0.500  0.500
H  0.500  0.500  0.000

What is the stability order? It is version P, version Q, from most stable to least stable.

Version P
K2TlHgH: optimized geometry, PBE.

Space group: P4/mmm
Total magnetization: 0.1 μB per cell

Cell: 5.342 5.342 5.153 Å, 90.00 90.00 90.00°
Atoms (fractional coordinates):
K  0.000  0.500  0.000
K  0.500  0.000  0.000
Tl  0.000  0.000  0.500
Hg  0.500  0.500  0.500
H  0.000  0.000  0.000

Version Q
K2TlHgH: optimized geometry, PBE.

Space group: P4/mmm
Total magnetization: 0.0 μB per cell

Cell: 5.175 5.175 5.511 Å, 90.00 90.00 90.00°
Atoms (fractional coordinates):
K  0.000  0.500  0.000
K  0.500  0.000  0.000
Tl  0.000  0.000  0.500
Hg  0.500  0.500  0.500
H  0.500  0.500  0.000

What is the stability order? It is version P, version Q, from most stable to least stable.

Version P
LaHg3H: optimized geometry, PBE.

Space group: Pm-3m
Total magnetization: 0.4 μB per cell

Cell: 6.286 6.286 6.286 Å, 90.00 90.00 90.00°
Atoms (fractional coordinates):
La  0.000  0.000  0.000
Hg  0.000  0.000  0.500
Hg  0.000  0.500  0.000
Hg  0.500  0.000  0.000
H  0.500  0.500  0.500

Version Q
LaHg3H: optimized geometry, PBE.

Space group: Pm-3m
Total magnetization: 0.0 μB per cell

Cell: 4.835 4.835 4.835 Å, 90.00 90.00 90.00°
Atoms (fractional coordinates):
La  0.000  0.000  0.000
Hg  0.000  0.500  0.500
Hg  0.500  0.000  0.500
Hg  0.500  0.500  0.000
H  0.500  0.500  0.500

What is the stability order? It is version Q, version P, from most stable to least stable.

Version P
LaHg2H2: optimized geometry, PBE.

Space group: I4/mmm
Total magnetization: 1.6 μB per cell

Cell: 3.808 3.808 12.807 Å, 90.00 90.00 90.00°
Atoms (fractional coordinates):
La  0.000  0.000  0.000
La  0.500  0.500  0.500
Hg  0.000  0.000  0.346
Hg  0.000  0.000  0.654
Hg  0.500  0.500  0.154
Hg  0.500  0.500  0.846
H  0.000  0.500  0.250
H  0.000  0.500  0.750
H  0.500  0.000  0.250
H  0.500  0.000  0.750

Version Q
LaHg2H2: optimized geometry, PBE.

Space group: P4/mbm
Total magnetization: 0.0 μB per cell

Cell: 6.304 6.304 4.910 Å, 90.00 90.00 90.00°
Atoms (fractional coordinates):
La  0.000  0.000  0.000
La  0.500  0.500  0.000
Hg  0.180  0.320  0.500
Hg  0.320  0.820  0.500
Hg  0.680  0.180  0.500
Hg  0.820  0.680  0.500
H  0.173  0.327  0.000
H  0.327  0.827  0.000
H  0.673  0.173  0.000
H  0.827  0.673  0.000

What is the stability order? It is version Q, version P, from most stable to least stable.

Version P
LaHgH3: optimized geometry, PBE.

Space group: Pm-3m
Total magnetization: 0.0 μB per cell

Cell: 4.044 4.044 4.044 Å, 90.00 90.00 90.00°
Atoms (fractional coordinates):
La  0.000  0.000  0.000
Hg  0.500  0.500  0.500
H  0.000  0.500  0.500
H  0.500  0.000  0.500
H  0.500  0.500  0.000

Version Q
LaHgH3: optimized geometry, PBE.

Space group: Pm-3m
Total magnetization: 0.0 μB per cell

Cell: 4.545 4.545 4.545 Å, 90.00 90.00 90.00°
Atoms (fractional coordinates):
La  0.000  0.000  0.000
Hg  0.500  0.500  0.500
H  0.000  0.000  0.500
H  0.000  0.500  0.000
H  0.500  0.000  0.000

What is the stability order? It is version Q, version P, from most stable to least stable.

Version P
La6Hg3H: optimized geometry, PBE.

Space group: P2_1/c
Total magnetization: 0.0 μB per cell

Cell: 6.680 8.559 12.074 Å, 90.00 119.51 90.00°
Atoms (fractional coordinates):
La  0.072  0.055  0.227
La  0.072  0.445  0.727
La  0.165  0.713  0.061
La  0.165  0.787  0.561
La  0.410  0.147  0.048
La  0.410  0.353  0.548
La  0.590  0.647  0.452
La  0.590  0.853  0.952
La  0.835  0.213  0.439
La  0.835  0.287  0.939
La  0.928  0.555  0.273
La  0.928  0.945  0.773
Hg  0.332  0.116  0.734
Hg  0.332  0.384  0.234
Hg  0.500  0.000  0.500
Hg  0.500  0.500  0.000
Hg  0.668  0.616  0.766
Hg  0.668  0.884  0.266
H  0.000  0.000  0.000
H  0.000  0.500  0.500

Version Q
La6Hg3H: optimized geometry, PBE.

Space group: Cmc2_1
Total magnetization: 0.0 μB per cell

Cell: 10.678 10.678 5.614 Å, 90.00 90.00 112.50°
Atoms (fractional coordinates):
La  0.083  0.917  0.500
La  0.106  0.548  0.501
La  0.228  0.772  0.003
La  0.253  0.412  0.000
La  0.412  0.253  0.500
La  0.452  0.894  0.501
La  0.548  0.106  0.001
La  0.588  0.747  0.000
La  0.747  0.588  0.500
La  0.772  0.228  0.503
La  0.894  0.452  0.001
La  0.917  0.083  0.000
Hg  0.088  0.232  0.499
Hg  0.232  0.088  0.999
Hg  0.423  0.577  0.501
Hg  0.577  0.423  0.001
Hg  0.768  0.912  0.499
Hg  0.912  0.768  0.999
H  0.214  0.786  0.449
H  0.786  0.214  0.949

What is the stability order? It is version Q, version P, from most stable to least stable.

Version P
LaVHg2H: optimized geometry, PBE.

Space group: P4/mmm
Total magnetization: 0.0 μB per cell

Cell: 4.718 4.718 4.421 Å, 90.00 90.00 90.00°
Atoms (fractional coordinates):
La  0.000  0.000  0.000
V  0.500  0.500  0.000
Hg  0.000  0.500  0.500
Hg  0.500  0.000  0.500
H  0.000  0.000  0.500

Version Q
LaVHg2H: optimized geometry, PBE.

Space group: P4/mmm
Total magnetization: 3.2 μB per cell

Cell: 5.222 5.222 5.312 Å, 90.00 90.00 90.00°
Atoms (fractional coordinates):
La  0.000  0.000  0.000
V  0.000  0.000  0.500
Hg  0.000  0.500  0.500
Hg  0.500  0.000  0.500
H  0.500  0.500  0.000

What is the stability order? It is version P, version Q, from most stable to least stable.

Version P
LiHg2H: optimized geometry, PBE.

Space group: I-42d
Total magnetization: 0.0 μB per cell

Cell: 7.271 7.271 5.307 Å, 90.00 90.00 90.00°
Atoms (fractional coordinates):
Li  0.000  0.000  0.000
Li  0.000  0.500  0.250
Li  0.500  0.000  0.750
Li  0.500  0.500  0.500
Hg  0.172  0.750  0.625
Hg  0.250  0.172  0.375
Hg  0.250  0.328  0.875
Hg  0.328  0.750  0.125
Hg  0.672  0.250  0.125
Hg  0.750  0.672  0.875
Hg  0.750  0.828  0.375
Hg  0.828  0.250  0.625
H  0.000  0.000  0.500
H  0.000  0.500  0.750
H  0.500  0.000  0.250
H  0.500  0.500  0.000

Version Q
LiHg2H: optimized geometry, PBE.

Space group: Fm-3m
Total magnetization: 0.5 μB per cell

Cell: 6.559 6.559 6.559 Å, 90.00 90.00 90.00°
Atoms (fractional coordinates):
Li  0.000  0.000  0.000
Li  0.000  0.500  0.500
Li  0.500  0.000  0.500
Li  0.500  0.500  0.000
Hg  0.250  0.250  0.250
Hg  0.250  0.250  0.750
Hg  0.250  0.750  0.250
Hg  0.250  0.750  0.750
Hg  0.750  0.250  0.250
Hg  0.750  0.250  0.750
Hg  0.750  0.750  0.250
Hg  0.750  0.750  0.750
H  0.000  0.000  0.500
H  0.000  0.500  0.000
H  0.500  0.000  0.000
H  0.500  0.500  0.500

What is the stability order? It is version P, version Q, from most stable to least stable.

Version P
Li2HgH2: optimized geometry, PBE.

Space group: I4/mmm
Total magnetization: 0.0 μB per cell

Cell: 3.686 3.686 10.427 Å, 90.00 90.00 90.00°
Atoms (fractional coordinates):
Li  0.000  0.000  0.213
Li  0.000  0.000  0.787
Li  0.500  0.500  0.287
Li  0.500  0.500  0.713
Hg  0.000  0.000  0.500
Hg  0.500  0.500  0.000
H  0.000  0.500  0.250
H  0.000  0.500  0.750
H  0.500  0.000  0.250
H  0.500  0.000  0.750

Version Q
Li2HgH2: optimized geometry, PBE.

Space group: P4/mbm
Total magnetization: 0.0 μB per cell

Cell: 6.333 6.333 2.927 Å, 90.00 90.00 90.00°
Atoms (fractional coordinates):
Li  0.151  0.349  0.000
Li  0.349  0.849  0.000
Li  0.651  0.151  0.000
Li  0.849  0.651  0.000
Hg  0.000  0.000  0.500
Hg  0.500  0.500  0.500
H  0.142  0.642  0.500
H  0.358  0.142  0.500
H  0.642  0.858  0.500
H  0.858  0.358  0.500

What is the stability order? It is version P, version Q, from most stable to least stable.

Version P
Li2HgHPd: optimized geometry, PBE.

Space group: P4/mmm
Total magnetization: 0.0 μB per cell

Cell: 4.190 4.190 3.716 Å, 90.00 90.00 90.00°
Atoms (fractional coordinates):
Li  0.000  0.500  0.000
Li  0.500  0.000  0.000
Hg  0.000  0.000  0.500
H  0.500  0.500  0.000
Pd  0.500  0.500  0.500

Version Q
Li2HgHPd: optimized geometry, PBE.

Space group: P4/mmm
Total magnetization: 0.0 μB per cell

Cell: 3.979 3.979 4.276 Å, 90.00 90.00 90.00°
Atoms (fractional coordinates):
Li  0.000  0.500  0.000
Li  0.500  0.000  0.000
Hg  0.000  0.000  0.500
H  0.000  0.000  0.000
Pd  0.500  0.500  0.500

What is the stability order? It is version P, version Q, from most stable to least stable.

Version P
Li2SnHgH: optimized geometry, PBE.

Space group: P4/mmm
Total magnetization: 0.0 μB per cell

Cell: 4.544 4.544 3.927 Å, 90.00 90.00 90.00°
Atoms (fractional coordinates):
Li  0.000  0.500  0.000
Li  0.500  0.000  0.000
Sn  0.000  0.000  0.500
Hg  0.500  0.500  0.500
H  0.500  0.500  0.000

Version Q
Li2SnHgH: optimized geometry, PBE.

Space group: P4/mmm
Total magnetization: 0.0 μB per cell

Cell: 4.313 4.313 4.455 Å, 90.00 90.00 90.00°
Atoms (fractional coordinates):
Li  0.000  0.500  0.000
Li  0.500  0.000  0.000
Sn  0.000  0.000  0.500
Hg  0.500  0.500  0.500
H  0.000  0.000  0.000

What is the stability order? It is version P, version Q, from most stable to least stable.

Version P
Sr2LiHgH: optimized geometry, PBE.

Space group: P4/mmm
Total magnetization: 0.0 μB per cell

Cell: 5.247 5.247 4.861 Å, 90.00 90.00 90.00°
Atoms (fractional coordinates):
Sr  0.000  0.500  0.000
Sr  0.500  0.000  0.000
Li  0.000  0.000  0.500
Hg  0.500  0.500  0.500
H  0.500  0.500  0.000

Version Q
Sr2LiHgH: optimized geometry, PBE.

Space group: P4/mmm
Total magnetization: 0.0 μB per cell

Cell: 5.450 5.450 4.203 Å, 90.00 90.00 90.00°
Atoms (fractional coordinates):
Sr  0.000  0.500  0.000
Sr  0.500  0.000  0.000
Li  0.000  0.000  0.500
Hg  0.500  0.500  0.500
H  0.000  0.000  0.000

What is the stability order? It is version Q, version P, from most stable to least stable.